VASP calculation (PBE) on a relaxed structure of InSi2Te.

Values from the calculation:
Size of the total moment, μB per cell: 0.0
N(E_F), states/eV per atom: 0.389
Polymorph energy (0 for the lowest one), eV/f.u.: 0.82

```
data_InSi2Te
_chemical_formula_sum 'In1 Si2 Te1'
_space_group_name_H-M_alt 'P 1'
_space_group_IT_number 1
_cell_length_a 3.167
_cell_length_b 3.167
_cell_length_c 9.109
_cell_angle_alpha 90.00
_cell_angle_beta 90.00
_cell_angle_gamma 90.00
loop_
_space_group_symop_operation_xyz
'x,y,z'
loop_
_atom_site_label
_atom_site_fract_x
_atom_site_fract_y
_atom_site_fract_z
_atom_site_occupancy
In1 0.000 0.000 0.000 1
Si1 0.000 0.000 0.376 1
Si2 0.500 0.500 0.241 1
Te1 0.500 0.500 0.660 1
```

VASP calculation (PBE) on a relaxed structure of Tm2ScRe.

Values from the calculation:
Size of the total moment, μB per cell: 0.0
N(E_F), states/eV per atom: 1.515
E_form, eV per atom: 0.71

```
data_Tm2ScRe
_chemical_formula_sum 'Tm2 Sc1 Re1'
_space_group_name_H-M_alt 'P 1'
_space_group_IT_number 1
_cell_length_a 11.109
_cell_length_b 11.109
_cell_length_c 11.109
_cell_angle_alpha 16.15
_cell_angle_beta 16.15
_cell_angle_gamma 16.15
loop_
_space_group_symop_operation_xyz
'x,y,z'
loop_
_atom_site_label
_atom_site_fract_x
_atom_site_fract_y
_atom_site_fract_z
_atom_site_occupancy
Tm1 0.082 0.082 0.082 1
Tm2 0.918 0.918 0.918 1
Sc1 0.500 0.500 0.500 1
Re1 0.000 0.000 0.000 1
```

VASP calculation (PBE) on a relaxed structure of NaNi2Sb2.

Values from the calculation:
Size of the total moment, μB per cell: 0.0
Final energy, eV/atom: -4.258
N(E_F), states/eV per atom: 0.411

```
data_NaNi2Sb2
_chemical_formula_sum 'Na2 Ni4 Sb4'
_space_group_name_H-M_alt 'P 1'
_space_group_IT_number 1
_cell_length_a 7.877
_cell_length_b 7.877
_cell_length_c 3.075
_cell_angle_alpha 90.00
_cell_angle_beta 90.00
_cell_angle_gamma 90.00
loop_
_space_group_symop_operation_xyz
'x,y,z'
loop_
_atom_site_label
_atom_site_fract_x
_atom_site_fract_y
_atom_site_fract_z
_atom_site_occupancy
Na1 0.000 0.000 0.000 1
Na2 0.500 0.500 0.000 1
Ni1 0.126 0.374 0.500 1
Ni2 0.374 0.874 0.500 1
Ni3 0.626 0.126 0.500 1
Ni4 0.874 0.626 0.500 1
Sb1 0.153 0.653 0.000 1
Sb2 0.347 0.153 0.000 1
Sb3 0.653 0.847 0.000 1
Sb4 0.847 0.347 0.000 1
```